[1]
AcThGaPb | PBE | optimized geometry

```
AcThGaPb
1.0
0.000 3.942 3.942
3.942 0.000 3.942
3.942 3.942 0.000
Ac Th Ga Pb
1 1 1 1
Direct
0.000 0.000 0.000
0.500 0.500 0.500
0.250 0.250 0.250
0.750 0.750 0.750
```

Values from the calculation:
- total energy (eV/atom) = -4.82
- M_tot (μB/f.u.) = 0.00


[2]
RuSBr3 | PBE | optimized geometry

```
RuSBr3
1.0
3.516 -7.007 0.000
3.516 7.007 0.000
-0.927 0.000 13.064
Ru S Br
4 4 12
Direct
0.024 0.095 0.140
0.095 0.024 0.640
0.905 0.976 0.360
0.976 0.905 0.860
0.004 0.722 0.726
0.278 0.996 0.774
0.722 0.004 0.226
0.996 0.278 0.274
0.003 0.215 0.522
0.170 0.293 0.790
0.215 0.003 0.022
0.237 0.468 0.080
0.293 0.170 0.290
0.468 0.237 0.580
0.532 0.763 0.420
0.707 0.830 0.710
0.763 0.532 0.920
0.785 0.997 0.978
0.830 0.707 0.210
0.997 0.785 0.478
```

Values from the calculation:
- total energy (eV/atom) = -3.83
- E_form (uncorrected) (meV per atom) = -150.6
- M_tot (μB/f.u.) = 0.00
- relative energy among the computed polymorphs (eV/atom) = 0.000


[3]
Na2LiBeBi2 | PBE | optimized geometry

```
Na2LiBeBi2
1.0
-3.111 7.732 3.104
3.111 -7.732 3.104
3.111 7.732 -3.104
Na Li Be Bi
4 2 2 4
Direct
0.176 0.224 0.400
0.324 0.724 0.049
0.676 0.276 0.951
0.824 0.776 0.600
0.250 0.250 0.000
0.750 0.750 0.000
0.250 0.750 0.500
0.750 0.250 0.500
0.108 0.717 0.826
0.392 0.217 0.609
0.608 0.783 0.391
0.892 0.283 0.174
```

Values from the calculation:
- total energy (eV/atom) = -2.85
- M_tot (μB/f.u.) = 0.00


- Which formula does entry 1 have?
  AcThGaPb


- Which value of total energy does entry 2 give?
  -3.83 eV/atom


- Which of these has the highest total energy?
  Na2LiBeBi2


What did the second record say?
RuSBr3 | PBE | optimized geometry

```
RuSBr3
1.0
3.516 -7.007 0.000
3.516 7.007 0.000
-0.927 0.000 13.064
Ru S Br
4 4 12
Direct
0.024 0.095 0.140
0.095 0.024 0.640
0.905 0.976 0.360
0.976 0.905 0.860
0.004 0.722 0.726
0.278 0.996 0.774
0.722 0.004 0.226
0.996 0.278 0.274
0.003 0.215 0.522
0.170 0.293 0.790
0.215 0.003 0.022
0.237 0.468 0.080
0.293 0.170 0.290
0.468 0.237 0.580
0.532 0.763 0.420
0.707 0.830 0.710
0.763 0.532 0.920
0.785 0.997 0.978
0.830 0.707 0.210
0.997 0.785 0.478
```

Values from the calculation:
- total energy (eV/atom) = -3.83
- E_form (uncorrected) (meV per atom) = -150.6
- M_tot (μB/f.u.) = 0.00
- relative energy among the computed polymorphs (eV/atom) = 0.000